# 1
Pr3Ho2Tm8 | the Alexandria database | PBE-GGA | relaxed; formation energy from the elements = 0.029 eV/atom; theoretical density = 8.5 g cm⁻³; raw total energy = -4.53 eV/atom
1.0
-3.594 1.320 4.810
-0.303 -6.134 0.139
8.482 -2.325 6.941
Pr Tm Ho
3 8 2
Direct
0.000 0.000 0.000
0.461 0.769 0.920
0.539 0.231 0.080
0.925 0.537 0.841
0.388 0.308 0.764
0.612 0.692 0.236
0.692 0.154 0.387
0.848 0.077 0.688
0.308 0.846 0.613
0.075 0.463 0.159
0.152 0.923 0.312
0.769 0.615 0.537
0.231 0.385 0.463


# 2
K4Pr3AlSe8 | the Alexandria database | PBE-GGA | relaxed; E_form (uncorrected) = -1506 meV/atom; theoretical density = 4.2 g cm⁻³; raw total energy = -4.65 eV/atom
1.0
-0.947 3.443 -7.757
7.165 -4.834 -3.020
-6.462 -4.275 3.592
Al Se Pr K
1 8 3 4
Direct
0.000 0.500 0.000
0.237 0.300 0.018
0.219 0.700 0.982
0.763 0.700 0.982
0.739 0.716 0.477
0.781 0.300 0.562
0.781 0.300 0.018
0.219 0.700 0.438
0.261 0.284 0.523
0.000 0.500 0.500
0.500 0.500 0.000
0.500 0.500 0.500
0.000 0.000 0.500
0.500 0.000 0.000
0.000 0.000 0.000
0.500 0.000 0.500


# 3
Ca2InAu | the Alexandria database | PBE-GGA | relaxed; formation energy from the elements = -0.620 eV/atom; theoretical density = 6.2 g cm⁻³; raw total energy = -3.12 eV/atom
1.0
3.545 0.000 0.000
0.000 3.625 0.035
0.000 3.544 8.240
Ca In Au
2 1 1
Direct
0.000 0.026 0.974
0.000 0.474 0.526
0.500 0.250 0.250
0.500 0.750 0.750


# 4
PmNd4Y2 | the Alexandria database | PBE-GGA | relaxed; formation energy from the elements = 0.244 eV/atom; theoretical density = 6.1 g cm⁻³; raw total energy = -5.01 eV/atom
1.0
-2.917 6.227 0.857
-5.463 0.294 7.280
4.782 5.321 5.635
Pm Nd Y
2 8 4
Direct
0.500 0.500 0.000
0.000 0.500 0.000
0.853 0.644 0.649
0.788 0.242 0.742
0.147 0.356 0.351
0.212 0.758 0.258
0.853 0.149 0.144
0.228 0.242 0.742
0.772 0.758 0.258
0.147 0.851 0.856
0.281 0.969 0.469
0.500 0.000 0.000
0.500 0.500 0.500
0.719 0.031 0.531


# 5
HoRuRh | the Alexandria database | PBE-GGA | relaxed; formation energy from the elements = -0.357 eV/atom; theoretical density = 11.0 g cm⁻³; raw total energy = -7.43 eV/atom
1.0
-2.009 -2.084 -2.935
5.301 0.841 -4.225
-0.282 -5.472 4.079
Ho Ru Rh
3 3 3
Direct
0.000 0.595 0.595
0.000 0.000 0.405
0.000 0.405 0.000
0.500 0.239 0.239
0.500 0.761 0.000
0.500 0.000 0.761
0.000 0.000 0.000
0.500 0.667 0.333
0.500 0.333 0.667


# 6
Mn3ReOs | the Alexandria database | PBE-GGA | relaxed; formation energy from the elements = 2.034 eV/atom; theoretical density = 10.9 g cm⁻³; raw total energy = -8.20 eV/atom
1.0
4.352 0.000 0.000
0.000 4.352 0.000
0.000 0.000 4.352
Mn Os Re
3 1 1
Direct
0.000 0.000 0.500
0.000 0.500 0.000
0.500 0.000 0.000
0.500 0.500 0.500
0.000 0.000 0.000


# 7
Sr2YTa | the Alexandria database | PBE-GGA | relaxed; formation energy from the elements = 0.867 eV/atom; theoretical density = 5.6 g cm⁻³; raw total energy = -4.55 eV/atom
1.0
-0.448 -4.288 -2.299
4.500 0.513 -1.834
2.081 -2.570 4.387
Ta Sr Y
1 2 1
Direct
0.500 0.000 0.500
0.000 0.000 0.000
0.500 0.500 0.000
0.000 0.500 0.500


# 8
Ba2CoSi | the Alexandria database | PBE-GGA | relaxed; E_form (uncorrected) = 367 meV/atom; theoretical density = 4.8 g cm⁻³; raw total energy = -3.73 eV/atom
1.0
-3.284 -1.872 0.808
2.052 -3.189 0.951
2.487 -0.599 8.715
Co Ba Si
1 2 1
Direct
0.500 0.250 0.250
0.000 0.994 0.006
0.000 0.506 0.494
0.500 0.750 0.750


# 9
TmAsPd | the Alexandria database | PBE-GGA | relaxed; formation energy from the elements = -0.498 eV/atom; theoretical density = 9.3 g cm⁻³; raw total energy = -5.27 eV/atom
1.0
5.154 0.000 0.000
0.000 3.344 0.000
0.000 1.672 7.280
Pd As Tm
2 2 2
Direct
0.750 0.629 0.743
0.250 0.371 0.257
0.500 0.000 0.000
0.000 0.000 0.000
0.250 0.179 0.643
0.750 0.821 0.357


# 10
PaNbAs | the Alexandria database | PBE-GGA | relaxed; formation energy from the elements = -0.662 eV/atom; theoretical density = 10.6 g cm⁻³; raw total energy = -8.73 eV/atom
1.0
3.964 0.000 -1.034
-0.270 3.955 -1.034
-0.031 -0.033 7.999
Pa As Nb
2 2 2
Direct
0.333 0.333 0.667
0.667 0.667 0.333
0.131 0.131 0.261
0.869 0.869 0.739
0.500 0.000 0.000
0.000 0.500 0.000


# 11
SmHf2NiN4 | the Alexandria database | PBE-GGA | relaxed; E_form (uncorrected) = -1356 meV/atom; theoretical density = 10.6 g cm⁻³; raw total energy = -9.32 eV/atom
1.0
-0.401 -2.349 2.185
4.667 2.861 1.540
-6.195 6.790 6.163
N Hf Ni Sm
8 4 2 2
Direct
0.267 0.535 0.111
0.445 0.890 0.750
0.733 0.465 0.889
0.000 0.000 0.500
0.733 0.465 0.611
0.555 0.110 0.250
0.267 0.535 0.389
0.000 0.000 0.000
0.632 0.265 0.056
0.368 0.735 0.944
0.632 0.265 0.444
0.368 0.735 0.556
0.846 0.691 0.750
0.154 0.309 0.250
0.109 0.219 0.750
0.891 0.781 0.250


# 12
NaHfCu2 | the Alexandria database | PBE-GGA | relaxed; formation energy from the elements = 0.654 eV/atom; theoretical density = 7.1 g cm⁻³; raw total energy = -4.21 eV/atom
1.0
7.164 0.000 0.000
0.000 7.164 0.000
3.582 3.582 3.006
Na Hf Cu
2 2 4
Direct
0.250 0.750 0.500
0.500 0.500 0.000
0.750 0.250 0.500
0.000 0.000 0.000
0.875 0.885 0.750
0.115 0.625 0.250
0.635 0.125 0.250
0.375 0.365 0.750


# 13
HoNi2P2 | the Alexandria database | PBE-GGA | relaxed; formation energy from the elements = -1.012 eV/atom; theoretical density = 8.2 g cm⁻³; raw total energy = -6.40 eV/atom
1.0
-2.255 2.286 -2.167
1.578 -1.483 -3.212
-2.946 -3.721 2.615
P Ni Ho
2 2 1
Direct
0.376 0.376 0.754
0.624 0.624 0.246
0.251 0.749 0.500
0.749 0.251 0.500
0.000 0.000 0.000


# 14
Pm3PaSe6 | the Alexandria database | PBE-GGA | relaxed; E_form (uncorrected) = -1623 meV/atom; theoretical density = 6.5 g cm⁻³; raw total energy = -6.09 eV/atom
1.0
7.213 0.000 0.000
0.000 9.077 0.096
0.000 -1.932 8.870
Se Pm Pa
12 6 2
Direct
0.179 0.697 0.628
0.679 0.628 0.697
0.753 0.992 0.008
0.130 0.769 0.231
0.179 0.372 0.303
0.198 0.429 0.903
0.253 0.008 0.992
0.198 0.097 0.571
0.698 0.571 0.097
0.630 0.231 0.769
0.679 0.303 0.372
0.698 0.903 0.429
0.487 0.289 0.087
0.378 0.405 0.595
0.878 0.595 0.405
0.487 0.913 0.711
0.987 0.087 0.289
0.987 0.711 0.913
0.994 0.162 0.838
0.494 0.838 0.162


# 15
NaGd2Lu | the Alexandria database | PBE-GGA | relaxed; formation energy from the elements = 0.147 eV/atom; theoretical density = 6.4 g cm⁻³; raw total energy = -8.35 eV/atom
1.0
3.493 0.000 0.000
1.747 3.025 0.000
1.747 1.008 12.590
Gd Na Lu
2 1 1
Direct
0.093 0.093 0.722
0.907 0.907 0.278
0.000 0.000 0.000
0.500 0.500 0.500


# 16
Ga2Br3 | the Alexandria database | PBE-GGA | relaxed; E_form (uncorrected) = -518 meV/atom; theoretical density = 4.2 g cm⁻³; raw total energy = -2.73 eV/atom
1.0
7.075 0.000 0.000
3.538 6.127 0.000
3.538 2.042 6.934
Br Ga
6 4
Direct
0.250 0.577 0.250
0.923 0.250 0.250
0.577 0.923 0.250
0.423 0.077 0.750
0.750 0.423 0.750
0.077 0.750 0.750
0.157 0.157 0.529
0.343 0.343 0.971
0.657 0.657 0.029
0.843 0.843 0.471


# 17
TbNdBeGa | the Alexandria database | PBE-GGA | relaxed; formation energy from the elements = -0.187 eV/atom; theoretical density = 7.0 g cm⁻³; raw total energy = -4.23 eV/atom
1.0
-3.390 -1.387 -3.479
1.463 -2.681 -4.024
-1.342 -4.852 -0.426
Be Ga Tb Nd
1 1 1 1
Direct
0.500 0.500 0.500
0.000 0.000 0.000
0.750 0.750 0.750
0.250 0.250 0.250


# 18
HoPuMgHg | the Alexandria database | PBE-GGA | relaxed; formation energy from the elements = -0.062 eV/atom; theoretical density = 10.0 g cm⁻³; raw total energy = -5.26 eV/atom
1.0
-1.000 -1.554 4.971
-4.766 -1.956 1.259
-0.542 -5.158 1.108
Hg Mg Ho Pu
1 1 1 1
Direct
0.250 0.250 0.250
0.750 0.750 0.750
0.500 0.500 0.500
0.000 0.000 0.000


# 19
CaTbCd5 | the Alexandria database | PBE-GGA | relaxed; formation energy from the elements = -0.133 eV/atom; theoretical density = 6.6 g cm⁻³; raw total energy = -1.73 eV/atom
1.0
5.431 0.137 -0.001
-1.638 5.180 -0.001
-0.001 -0.001 6.712
Ca Tb Cd
1 1 5
Direct
0.500 0.500 0.500
0.000 0.000 0.000
0.500 0.000 0.235
0.500 0.000 0.765
0.000 0.500 0.235
0.000 0.500 0.765
0.000 0.000 0.500


# 20
CsCe2CuSe4 | the Alexandria database | PBE-GGA | relaxed; E_form (uncorrected) = -1461 meV/atom; theoretical density = 5.6 g cm⁻³; raw total energy = -5.31 eV/atom
1.0
4.282 0.000 0.000
-2.141 7.504 0.000
0.000 0.000 14.716
Se Cu Cs Ce
8 2 2 4
Direct
0.000 0.000 0.000
0.258 0.516 0.390
0.000 0.000 0.500
0.742 0.484 0.890
0.258 0.516 0.110
0.420 0.840 0.750
0.742 0.484 0.610
0.580 0.160 0.250
0.834 0.669 0.750
0.166 0.331 0.250
0.894 0.789 0.250
0.106 0.211 0.750
0.633 0.265 0.059
0.633 0.265 0.441
0.367 0.735 0.941
0.367 0.735 0.559


# 21
Ba2Tl2Sn15 | the Alexandria database | PBE-GGA | relaxed; formation energy from the elements = -0.124 eV/atom; theoretical density = 6.9 g cm⁻³; raw total energy = -3.74 eV/atom
1.0
8.447 -0.013 -0.012
1.083 8.377 -0.012
1.083 0.950 8.323
Sn Ba Tl
15 2 2
Direct
0.000 0.297 0.703
0.297 0.703 0.000
0.297 0.000 0.703
0.703 0.297 0.000
0.355 0.355 0.846
0.645 0.645 0.154
0.703 0.000 0.297
0.000 0.500 0.000
0.645 0.154 0.645
0.000 0.000 0.500
0.500 0.000 0.000
0.000 0.703 0.297
0.355 0.846 0.355
0.846 0.355 0.355
0.154 0.645 0.645
0.662 0.662 0.662
0.338 0.338 0.338
0.099 0.099 0.099
0.901 0.901 0.901


# 22
Al4ZnCo | the Alexandria database | PBE-GGA | relaxed; formation energy from the elements = 0.268 eV/atom; theoretical density = 4.1 g cm⁻³; raw total energy = -3.62 eV/atom
1.0
0.000 3.614 3.614
3.614 0.000 3.614
3.614 3.614 0.000
Co Al Zn
1 4 1
Direct
0.250 0.250 0.250
0.126 0.625 0.625
0.625 0.126 0.625
0.625 0.625 0.625
0.625 0.625 0.126
0.000 0.000 0.000


# 23
PmCdAu2 | the Alexandria database | PBE-GGA | relaxed; formation energy from the elements = -0.552 eV/atom; theoretical density = 12.0 g cm⁻³; raw total energy = -3.61 eV/atom
1.0
3.638 0.000 0.000
0.000 3.638 0.000
0.000 0.000 6.827
Au Cd Pm
2 1 1
Direct
0.000 0.000 0.240
0.000 0.000 0.760
0.500 0.500 0.000
0.500 0.500 0.500